Record 1
Crystalline Na2PbAu2 at its relaxed geometry, computed with PBEsol.

```
data_Na2PbAu2
_cell_length_a 7.5264
_cell_length_b 7.5264
_cell_length_c 4.0226
_cell_angle_alpha 90.00
_cell_angle_beta 90.00
_cell_angle_gamma 90.00
_symmetry_space_group_name_H-M 'P 4/m b m'
_symmetry_Int_Tables_number 127
_symmetry_space_group_name_Hall '-P 4 2ab'
loop_
_atom_site_label
_atom_site_type_symbol
_atom_site_fract_x
_atom_site_fract_y
_atom_site_fract_z
Na1 Na 0.1652 0.3348 0.0000
Pb1 Pb 0.0000 0.0000 0.5000
Au1 Au 0.1314 0.6314 0.5000
```

Raw total energy   -3.10 eV per atom
Total moment   0.0 μB/cell

---

Record 2
Crystalline MnZn2Co at its relaxed geometry, computed with PBEsol.

```
data_MnZn2Co
_cell_length_a 5.1480
_cell_length_b 7.1818
_cell_length_c 2.6411
_cell_angle_alpha 90.00
_cell_angle_beta 90.00
_cell_angle_gamma 90.00
_symmetry_space_group_name_H-M 'C m m m'
_symmetry_Int_Tables_number 65
_symmetry_space_group_name_Hall '-C 2 2'
loop_
_atom_site_label
_atom_site_type_symbol
_atom_site_fract_x
_atom_site_fract_y
_atom_site_fract_z
Mn1 Mn 0.0000 0.0000 0.0000
Zn1 Zn 0.2500 0.2500 0.5000
Co1 Co 0.0000 0.5000 0.0000
```

Excess energy over the best structure of this formula in the dataset   69 meV per atom
Total moment   8.5 μB/cell